Entry 1:
Density functional theory data (PBE) for a relaxed InRe crystal.

Lattice parameters (Å, degrees): 3.899 3.899 3.899 60.00 60.00 60.00
Sites, in units of the cell vectors:
In (0.000, 0.000, 0.000)
Re (0.500, 0.500, 0.500)

Computed properties:
Energy of formation from the pure elements ... 3.221 eV/f.u.
Fermi-level density of states ... 0.785 states/eV per atom

***

Entry 2:
Density functional theory data (PBE) for a relaxed InRe2 crystal.

Lattice parameters (Å, degrees): 5.391 5.391 6.840 104.32 104.32 31.56
Sites, in units of the cell vectors:
In (0.000, 0.000, 0.000)
In (0.679, 0.679, 0.357)
Re (0.282, 0.282, 0.072)
Re (0.357, 0.357, 0.670)
Re (0.653, 0.653, 0.751)
Re (0.957, 0.957, 0.426)

Computed properties:
Energy of formation from the pure elements ... 1.579 eV/f.u.
Fermi-level density of states ... 0.669 states/eV per atom

***

Entry 3:
Density functional theory data (PBE) for a relaxed InRe crystal.

Lattice parameters (Å, degrees): 9.728 9.728 9.728 17.54 17.54 17.54
Sites, in units of the cell vectors:
In (0.119, 0.119, 0.119)
In (0.881, 0.881, 0.881)
Re (0.368, 0.368, 0.368)
Re (0.632, 0.632, 0.632)

Computed properties:
Energy of formation from the pure elements ... 0.649 eV/f.u.
Fermi-level density of states ... 0.332 states/eV per atom

***

Entry 4:
Density functional theory data (PBE) for a relaxed InRe2 crystal.

Lattice parameters (Å, degrees): 4.352 4.352 4.352 60.00 60.00 60.00
Sites, in units of the cell vectors:
In (0.000, 0.000, 0.000)
Re (0.250, 0.250, 0.250)
Re (0.750, 0.750, 0.750)

Computed properties:
Energy of formation from the pure elements ... 5.486 eV/f.u.
Fermi-level density of states ... 1.842 states/eV per atom